Crystalline LaPrEr at its relaxed geometry. Source: Alexandria via LeMat-Bulk, functional PBE-GGA.

## Properties
E in eV for the cell shown: -28.35
V in Å³ per atom: 34.8
Calculated formation energy in eV/atom: 0.032

Unit cell a=3.6804 b=3.6804 c=15.3943 alpha=90.00 beta=90.00 gamma=90.00
Last column: nearest neighbours and their distance in Å.
Positions (direct):
1 La 0.0000 0.0000 0.0000  4 Er 3.64, 4 La 3.68, 4 Pr 3.72
2 La 0.5000 0.5000 0.5000  4 Er 3.64, 4 La 3.68, 4 Pr 3.72
3 Pr 0.0000 0.0000 0.6726  4 Er 3.61, 4 Pr 3.68, 4 La 3.72
4 Pr 0.5000 0.5000 0.1726  4 Er 3.61, 4 Pr 3.68, 4 La 3.72
5 Er 0.0000 0.0000 0.3350  4 Pr 3.61, 4 La 3.64, 4 Er 3.68
6 Er 0.5000 0.5000 0.8350  4 Pr 3.61, 4 La 3.64, 4 Er 3.68